Density functional theory data (PBE) for a geometry-optimized NaHfAg2Te4 structure.

Unit cell a=7.0879 b=7.0879 c=7.0879 alpha=119.92 beta=116.34 gamma=93.29
Element x y z (fractional)
Na  0.0000  0.0000  0.0000
Hf  0.5000  0.5000  0.0000
Ag  0.3470  0.8470  0.5000
Ag  0.6530  0.1530  0.5000
Te  0.1099  0.1424  0.5501
Te  0.4077  0.8576  0.9675
Te  0.5923  0.5598  0.4499
Te  0.8901  0.4402  0.0325

Calculated values
The calculation puts the density of states at the Fermi level at 0.43 states/eV per atom. As for the calculated total energy: -4.05 eV per atom. The theoretical density comes out at 5.97 g/cm³.